Entry from Alexandria via LeMat-Bulk: crystalline Cs12Ag6O at its relaxed geometry (PBE).

Calculated values
DFT total energy: -1.801 eV per atom
Magnetization: 0.00 μB/f.u.
Space group: R-3
Raw formation energy: -0.100 eV/atom

```
data_Cs12Ag6O
_chemical_formula_sum 'Cs12 Ag6 O1'
_cell_length_a 10.5842
_cell_length_b 10.5842
_cell_length_c 10.5842
_cell_angle_alpha 98.83
_cell_angle_beta 98.83
_cell_angle_gamma 98.83
_symmetry_space_group_name_H-M 'P 1'
_symmetry_Int_Tables_number 1
_symmetry_space_group_name_Hall 'P 1'
loop_
_atom_site_label
_atom_site_type_symbol
_atom_site_fract_x
_atom_site_fract_y
_atom_site_fract_z
_atom_site_occupancy
Cs1 Cs 0.0541 0.2824 0.9880 1
Cs2 Cs 0.5804 0.4284 0.1802 1
Cs3 Cs 0.8198 0.4196 0.5716 1
Cs4 Cs 0.4196 0.5716 0.8198 1
Ag1 Ag 0.1274 0.2987 0.6381 1
Ag2 Ag 0.8726 0.7013 0.3619 1
Cs5 Cs 0.0120 0.9459 0.7176 1
Cs6 Cs 0.9880 0.0541 0.2824 1
Cs7 Cs 0.5716 0.8198 0.4196 1
Cs8 Cs 0.9459 0.7176 0.0120 1
O1 O 0.0000 0.0000 0.0000 1
Ag3 Ag 0.7013 0.3619 0.8726 1
Cs9 Cs 0.2824 0.9880 0.0541 1
Cs10 Cs 0.4284 0.1802 0.5804 1
Cs11 Cs 0.1802 0.5804 0.4284 1
Ag4 Ag 0.3619 0.8726 0.7013 1
Cs12 Cs 0.7176 0.0120 0.9459 1
Ag5 Ag 0.2987 0.6381 0.1274 1
Ag6 Ag 0.6381 0.1274 0.2987 1
```